# Sm5Ho4Er2

An optimized crystal structure of Sm5Ho4Er2 (GGA-PBE, the Alexandria database).

abc: 6.885 6.885 9.649
angles: 69.52 69.52 60.81
Positions (direct):
Sm 0.628 0.158 0.821
Sm 0.372 0.842 0.179
Sm 0.000 0.000 0.500
Sm 0.158 0.628 0.821
Sm 0.842 0.372 0.179
Ho 0.349 0.349 0.500
Ho 0.651 0.651 0.500
Ho 0.643 0.643 0.849
Ho 0.357 0.357 0.151
Er 0.129 0.129 0.848
Er 0.871 0.871 0.152

For the calculated total energy, the calculation gives -4.4604 eV per atom. Its energy above the most stable polymorph in this dataset is 0 kJ/mol of formula units. The calculated volume comes out at 33.18 Å³ per atom.